Cs2BaAgCl6: relaxed, PBE-GGA.

## Properties
Offset from the most stable computed form: 0.000 eV per atom
ΔE_f (raw): -1.614 eV per atom
N(E_F): 3.68 states/eV per cell

Geometry as CIF:
```
data_Cs2BaAgCl6
_cell_length_a 5.8353
_cell_length_b 5.8353
_cell_length_c 10.9345
_cell_angle_alpha 90.00
_cell_angle_beta 90.00
_cell_angle_gamma 90.00
_symmetry_space_group_name_H-M 'P 4/m m m'
_symmetry_Int_Tables_number 123
_symmetry_space_group_name_Hall '-P 4 2'
loop_
_atom_site_label
_atom_site_type_symbol
_atom_site_fract_x
_atom_site_fract_y
_atom_site_fract_z
Cs1 Cs 0.0000 0.0000 0.2127
Ba1 Ba 0.5000 0.5000 0.5000
Ag1 Ag 0.5000 0.5000 0.0000
Cl1 Cl 0.0000 0.5000 0.0000
Cl2 Cl 0.0000 0.5000 0.5000
Cl3 Cl 0.5000 0.5000 0.2194
```

=====

Cs2BaAgCl5: relaxed, PBE-GGA.

## Properties
ΔE_f (raw): -1.817 eV per atom
N(E_F): 0.00 states/eV per cell

Geometry as CIF:
```
data_Cs2BaAgCl5
_cell_length_a 4.6675
_cell_length_b 19.7672
_cell_length_c 14.6569
_cell_angle_alpha 90.00
_cell_angle_beta 90.00
_cell_angle_gamma 90.00
_symmetry_space_group_name_H-M 'C m c 21'
_symmetry_Int_Tables_number 36
loop_
_symmetry_equiv_pos_as_xyz
'x,y,z'
'-x,-y,z+1/2'
'-x,y,z'
'x,-y,z+1/2'
'x+1/2,y+1/2,z'
'-x+1/2,-y+1/2,z+1/2'
'-x+1/2,y+1/2,z'
'x+1/2,-y+1/2,z+1/2'
loop_
_atom_site_label
_atom_site_type_symbol
_atom_site_fract_x
_atom_site_fract_y
_atom_site_fract_z
Cs1 Cs 0.0000 0.1059 0.0000
Cs2 Cs 0.0000 0.1266 0.6557
Ba1 Ba 0.0000 0.1931 0.3467
Ag1 Ag 0.0000 0.4562 0.7469
Cl1 Cl 0.0000 0.0354 0.3290
Cl2 Cl 0.0000 0.2957 0.9847
Cl3 Cl 0.0000 0.3167 0.7055
Cl4 Cl 0.0000 0.3452 0.3305
Cl5 Cl 0.0000 0.4932 0.0884
```

=====

Cs2BaAg2Cl6: relaxed, PBE-GGA.

## Properties
ΔE_f (raw): -1.556 eV per atom
N(E_F): 0.00 states/eV per cell

Geometry as CIF:
```
data_Cs2BaAg2Cl6
_cell_length_a 14.1009
_cell_length_b 8.0145
_cell_length_c 8.3155
_cell_angle_alpha 90.00
_cell_angle_beta 118.72
_cell_angle_gamma 90.00
_symmetry_space_group_name_H-M 'C 1 2/m 1'
_symmetry_Int_Tables_number 12
loop_
_symmetry_equiv_pos_as_xyz
'x,y,z'
'-x,-y,-z'
'-x,y,-z'
'x,-y,z'
'x+1/2,y+1/2,z'
'-x+1/2,-y+1/2,-z'
'-x+1/2,y+1/2,-z'
'x+1/2,-y+1/2,z'
loop_
_atom_site_label
_atom_site_type_symbol
_atom_site_fract_x
_atom_site_fract_y
_atom_site_fract_z
Cs1 Cs 0.2289 0.0000 0.1902
Ba1 Ba 0.0000 0.0000 0.5000
Ag1 Ag 0.0561 0.5000 0.2079
Cl1 Cl 0.0601 0.2499 0.8153
Cl2 Cl 0.2426 0.0000 0.6250
```

=====

CsBaAg2Cl8: relaxed, PBE-GGA.

## Properties
ΔE_f (raw): -1.093 eV per atom
N(E_F): 8.70 states/eV per cell

Geometry as CIF:
```
data_CsBaAg2Cl8
_cell_length_a 7.5164
_cell_length_b 7.5164
_cell_length_c 13.0696
_cell_angle_alpha 90.00
_cell_angle_beta 90.00
_cell_angle_gamma 90.00
_symmetry_space_group_name_H-M 'I -4'
_symmetry_Int_Tables_number 82
loop_
_symmetry_equiv_pos_as_xyz
'x,y,z'
'y,-x,-z'
'-x,-y,z'
'-y,x,-z'
'x+1/2,y+1/2,z+1/2'
'y+1/2,-x+1/2,-z+1/2'
'-x+1/2,-y+1/2,z+1/2'
'-y+1/2,x+1/2,-z+1/2'
loop_
_atom_site_label
_atom_site_type_symbol
_atom_site_fract_x
_atom_site_fract_y
_atom_site_fract_z
Cs1 Cs 0.0000 0.0000 0.0000
Ba1 Ba 0.0000 0.5000 0.7500
Ag1 Ag 0.0000 0.0000 0.5000
Ag2 Ag 0.0000 0.5000 0.2500
Cl1 Cl 0.0266 0.3138 0.5165
Cl2 Cl 0.1316 0.7975 0.2362
```

=====

Cs2BaAgCl6: relaxed, PBE-GGA.

## Properties
Offset from the most stable computed form: 0.006 eV per atom
ΔE_f (raw): -1.609 eV per atom
N(E_F): 12.15 states/eV per cell

Geometry as CIF:
```
data_Cs2BaAgCl6
_cell_length_a 8.0424
_cell_length_b 8.0424
_cell_length_c 11.0269
_cell_angle_alpha 90.00
_cell_angle_beta 90.00
_cell_angle_gamma 90.00
_symmetry_space_group_name_H-M 'I 4/m m m'
_symmetry_Int_Tables_number 139
_symmetry_space_group_name_Hall '-I 4 2'
loop_
_atom_site_label
_atom_site_type_symbol
_atom_site_fract_x
_atom_site_fract_y
_atom_site_fract_z
Cs1 Cs 0.0000 0.5000 0.2500
Ba1 Ba 0.0000 0.0000 0.0000
Ag1 Ag 0.0000 0.0000 0.5000
Cl1 Cl 0.0000 0.0000 0.2727
Cl2 Cl 0.2369 0.2369 0.5000
```

=====

Cs3BaAg2Cl6: relaxed, PBE-GGA.

## Properties
ΔE_f (raw): -1.436 eV per atom
N(E_F): 3.88 states/eV per cell

Geometry as CIF:
```
data_Cs3BaAg2Cl6
_cell_length_a 8.1351
_cell_length_b 8.1351
_cell_length_c 8.8662
_cell_angle_alpha 90.00
_cell_angle_beta 90.00
_cell_angle_gamma 120.00
_symmetry_space_group_name_H-M 'P -3 m 1'
_symmetry_Int_Tables_number 164
_symmetry_space_group_name_Hall '-P 3 2"'
loop_
_atom_site_label
_atom_site_type_symbol
_atom_site_fract_x
_atom_site_fract_y
_atom_site_fract_z
Cs1 Cs 0.0000 0.0000 0.0000
Cs2 Cs 0.3333 0.6667 0.6286
Ba1 Ba 0.0000 0.0000 0.5000
Ag1 Ag 0.3333 0.6667 0.1430
Cl1 Cl 0.1714 0.3429 0.2957
```